The following is a PBE calculation of a relaxed NaHgSb2Te crystal, from Alexandria via LeMat-Bulk.

## Properties
Its distance to the lowest polymorph of the same formula is 253 meV per atom. The value obtained for the total energy is -9.782 eV/f.u.

Unit cell a=5.509 b=5.509 c=5.495 alpha=90.00 beta=90.00 gamma=90.00
Element x y z (fractional)
Na 0.000 0.000 0.000
Hg 0.500 0.500 0.500
Sb 0.000 0.500 0.000
Sb 0.500 0.000 0.000
Te 0.000 0.000 0.500